Record 1
DFT (PBE) results for an optimized crystal structure of Tc2AgMo.

Cell and atoms, written as POSCAR:
```
Tc2AgMo
1.0
2.813 -4.036 0.000
2.813 4.036 0.000
0.000 0.000 2.726
Tc Ag Mo
2 1 1
Direct
0.000 0.500 0.000
0.500 0.000 0.000
0.000 0.000 0.500
0.500 0.500 0.500
```

## Properties
**Symmetry**: Cmmm, No. 65
**Crystal system**: orthorhombic
**Raw total energy**: -8.138 eV/atom
**Energy relative to the elements**: 466 meV/atom
**M_tot**: 0.0 μB/f.u.

Record 2
DFT (PBE) results for an optimized crystal structure of Cs2BeSnS4.

Cell and atoms, written as POSCAR:
```
Cs2BeSnS4
1.0
0.000 7.144 12.537
2.941 0.000 12.537
2.941 7.144 0.000
Cs Be Sn S
4 2 2 8
Direct
0.053 0.053 0.697
0.303 0.303 0.947
0.697 0.697 0.053
0.947 0.947 0.303
0.375 0.375 0.375
0.625 0.625 0.625
0.125 0.125 0.125
0.875 0.875 0.875
0.017 0.634 0.559
0.289 0.559 0.634
0.366 0.983 0.711
0.441 0.711 0.983
0.559 0.289 0.017
0.634 0.017 0.289
0.711 0.441 0.366
0.983 0.366 0.441
```

## Properties
**Symmetry**: Fddd, No. 70
**Crystal system**: orthorhombic
**Raw total energy**: -4.201 eV/atom
**Raw formation energy**: -0.96 eV/atom
**M_tot**: 0.0 μB/f.u.

Record 3
DFT (PBE) results for an optimized crystal structure of NaAcTmSn.

Cell and atoms, written as POSCAR:
```
NaAcTmSn
1.0
0.000 3.947 3.947
3.947 0.000 3.947
3.947 3.947 0.000
Na Ac Tm Sn
1 1 1 1
Direct
0.000 0.000 0.000
0.750 0.750 0.750
0.250 0.250 0.250
0.500 0.500 0.500
```

## Properties
**Symmetry**: F-43m, No. 216
**Crystal system**: cubic
**Raw total energy**: -3.674 eV/atom
**Energy relative to the elements**: -199 meV/atom
**M_tot**: 0.0 μB/f.u.

Record 4
DFT (PBE) results for an optimized crystal structure of PmPrGaPt.

Cell and atoms, written as POSCAR:
```
PmPrGaPt
1.0
4.356 0.000 0.000
0.000 2.097 5.531
0.000 -2.097 5.531
Pm Pr Ga Pt
1 1 1 1
Direct
0.000 0.000 0.000
0.500 0.283 0.283
0.000 0.710 0.710
0.500 0.560 0.560
```

## Properties
**Symmetry**: Amm2, No. 38
**Crystal system**: orthorhombic
**Raw total energy**: -5.493 eV/atom
**Energy relative to the elements**: -844 meV/atom
**M_tot**: 0.0 μB/f.u.